! NbPbF2 PBE relaxed; values from VASP
! **Electronic total energy**: -5.5428 eV per atom
! **Formation energy (no corrections)**: -4.7 eV per formula unit
! **Magnetization**: 0.6 μB/f.u.
&SYSTEM
  ibrav = 0, nat = 8, ntyp = 3
/
ATOMIC_SPECIES
F 19.00 F.upf
Pb 207.20 Pb.upf
Nb 92.91 Nb.upf
CELL_PARAMETERS angstrom
-3.946 -1.487 1.291
-0.967 -1.055 -4.172
0.379 -7.910 -0.418
ATOMIC_POSITIONS crystal
F 0.875 0.725 0.750
F 0.375 0.525 0.750
F 0.275 0.625 0.250
F 0.475 0.125 0.250
Pb 0.750 0.250 0.500
Pb 0.000 0.000 0.000
Nb 0.250 0.750 0.500
Nb 0.500 0.500 0.000